No. 1
VASP calculation (GGA-PBE) on a geometry-optimized Fe2AgRu structure.

Summary:
DFT total energy, eV/atom: -6.840
Energy relative to the elements, eV/atom: 0.423
Offset from the most stable computed form, meV per atom: 122.4

Cell: 2.927 4.349 8.869 Å, 90.00 90.00 90.00°
Space group Cmm2 (No. 35)
Symmetry-distinct sites (fractional):
Fe1 0.000 0.000 0.000 (multiplicity 2)
Fe2 0.000 0.500 0.226 (multiplicity 2)
Ag1 0.000 0.000 0.488 (multiplicity 2)
Ru1 0.000 0.500 0.770 (multiplicity 2)

No. 2
VASP calculation (GGA-PBE) on a geometry-optimized GaWN structure.

Summary:
DFT total energy, eV/atom: -8.027
Energy relative to the elements, uncorrected, eV per atom: 0.075
Offset from the most stable computed form, meV per atom: 123.8

Cell: 3.4661 3.4661 25.8066 Å, 90.00 90.00 120.00°
Space group R-3m (No. 166, hexagonal axes)
Symmetry-distinct sites (fractional):
Ga1 0.0000 0.0000 0.1289 (multiplicity 6)
W1 0.0000 0.0000 0.3729 (multiplicity 6)
N1 0.0000 0.0000 0.2883 (multiplicity 6)

No. 3
VASP calculation (GGA-PBE) on a geometry-optimized K2HfInSe4 structure.

Summary:
DFT total energy, eV/atom: -4.612
Energy relative to the elements, uncorrected, eV per atom: -1.008

Cell: 7.026 14.368 23.054 Å, 90.00 90.00 90.00°
Space group Fddd (No. 70, origin choice 2)
Symmetry-distinct sites (fractional):
K1 0.125 0.125 0.309 (multiplicity 16)
Hf1 0.125 0.125 0.125 (multiplicity 8)
In1 0.125 0.125 0.625 (multiplicity 8)
Se1 0.095 0.273 0.434 (multiplicity 32)

No. 4
VASP calculation (GGA-PBE) on a geometry-optimized MnGaSe structure.

Summary:
DFT total energy, eV/atom: -5.107
Energy relative to the elements, uncorrected, eV per atom: 0.120
Offset from the most stable computed form, meV per atom: 229.6

Cell: 7.086 3.131 5.715 Å, 90.00 124.74 90.00°
Space group Cm (No. 8)
Symmetry-distinct sites (fractional):
Mn1 0.000 0.000 0.000 (multiplicity 2)
Ga1 0.264 0.500 0.392 (multiplicity 2)
Se1 0.206 0.000 0.795 (multiplicity 2)

The lowest DFT total energy belongs to which entry? GaWN

What is the DFT total energy in the first record? -6.840 eV/atom

Among the records above, which one has the lowest DFT total energy? GaWN

The lowest DFT total energy belongs to which entry? GaWN